Entry 1:
# NdMnRu PBE optimized geometry
data_NdMnRu
_chemical_formula_sum 'Nd4 Mn4 Ru4'
_cell_length_a 6.856
_cell_length_b 6.856
_cell_length_c 5.937
_cell_angle_alpha 90.00
_cell_angle_beta 90.00
_cell_angle_gamma 90.00
_symmetry_space_group_name_H-M 'P 41 21 2'
_symmetry_Int_Tables_number 92
_symmetry_space_group_name_Hall 'P 4abw 2nw'
loop_
_atom_site_label
_atom_site_type_symbol
_atom_site_fract_x
_atom_site_fract_y
_atom_site_fract_z
Nd1 Nd 0.240 0.240 0.000
Mn1 Mn 0.205 0.795 0.750
Ru1 Ru 0.049 0.049 0.500
# D(E_F) (states/eV per cell): 12.576
# ΔE_f (eV per atom): 0.306

---

Entry 2:
# NdMnSi2Ru PBE optimized geometry
data_NdMnSi2Ru
_chemical_formula_sum 'Nd2 Mn2 Si4 Ru2'
_cell_length_a 4.054
_cell_length_b 4.054
_cell_length_c 10.407
_cell_angle_alpha 90.00
_cell_angle_beta 90.00
_cell_angle_gamma 90.00
_symmetry_space_group_name_H-M 'I -4 m 2'
_symmetry_Int_Tables_number 119
_symmetry_space_group_name_Hall 'I -4 -2'
loop_
_atom_site_label
_atom_site_type_symbol
_atom_site_fract_x
_atom_site_fract_y
_atom_site_fract_z
Nd1 Nd 0.000 0.000 0.000
Mn1 Mn 0.000 0.500 0.250
Si1 Si 0.000 0.000 0.376
Ru1 Ru 0.000 0.500 0.750
# D(E_F) (states/eV per cell): 2.503
# Final energy (eV/atom): -7.545

---

Entry 3:
# Nd3Mn5S12 PBE optimized geometry
data_Nd3Mn5S12
_chemical_formula_sum 'Nd24 Mn40 S96'
_cell_length_a 15.118
_cell_length_b 15.118
_cell_length_c 15.118
_cell_angle_alpha 90.00
_cell_angle_beta 90.00
_cell_angle_gamma 90.00
_symmetry_space_group_name_H-M 'I a -3 d'
_symmetry_Int_Tables_number 230
_symmetry_space_group_name_Hall '-I 4bd 2c 3'
loop_
_atom_site_label
_atom_site_type_symbol
_atom_site_fract_x
_atom_site_fract_y
_atom_site_fract_z
Nd1 Nd 0.000 0.250 0.125
Mn1 Mn 0.000 0.000 0.000
Mn2 Mn 0.000 0.250 0.375
S1 S 0.028 0.055 0.647
# D(E_F) (states/eV per cell): 37.563
# Final energy (eV/atom): -6.561

---

Entry 4:
# NdMnS2 PBE optimized geometry
data_NdMnS2
_chemical_formula_sum 'Nd3 Mn3 S6'
_cell_length_a 3.6996
_cell_length_b 3.6996
_cell_length_c 24.2489
_cell_angle_alpha 90.00
_cell_angle_beta 90.00
_cell_angle_gamma 120.00
_symmetry_space_group_name_H-M 'R -3 m'
_symmetry_Int_Tables_number 166
_symmetry_space_group_name_Hall '-R 3 2"'
loop_
_atom_site_label
_atom_site_type_symbol
_atom_site_fract_x
_atom_site_fract_y
_atom_site_fract_z
Nd1 Nd 0.0000 0.0000 0.0000
Mn1 Mn 0.0000 0.0000 0.5000
S1 S 0.0000 0.0000 0.1133
# D(E_F) (states/eV per cell): 7.054
# Final energy (eV/atom): -6.179

---

Entry 5:
# NdMn4S8 PBE optimized geometry
data_NdMn4S8
_chemical_formula_sum 'Nd3 Mn12 S24'
_cell_length_a 6.7678
_cell_length_b 6.7678
_cell_length_c 19.4517
_cell_angle_alpha 90.00
_cell_angle_beta 90.00
_cell_angle_gamma 120.00
_symmetry_space_group_name_H-M 'R -3 m'
_symmetry_Int_Tables_number 166
_symmetry_space_group_name_Hall '-R 3 2"'
loop_
_atom_site_label
_atom_site_type_symbol
_atom_site_fract_x
_atom_site_fract_y
_atom_site_fract_z
Nd1 Nd 0.0000 0.0000 0.0000
Mn1 Mn 0.0000 0.0000 0.5000
Mn2 Mn 0.0000 0.5000 0.5000
S1 S 0.0000 0.0000 0.2331
S2 S 0.0063 0.5031 0.2330
# D(E_F) (states/eV per cell): 19.475
# Final energy (eV/atom): -6.520

---

Entry 6:
# Nd2Mn3Sb4S12 PBE optimized geometry
data_Nd2Mn3Sb4S12
_chemical_formula_sum 'Nd4 Mn6 Sb8 S24'
_cell_length_a 20.046
_cell_length_b 3.900
_cell_length_c 14.898
_cell_angle_alpha 90.00
_cell_angle_beta 126.25
_cell_angle_gamma 90.00
_symmetry_space_group_name_H-M 'C 1 2/m 1'
_symmetry_Int_Tables_number 12
_symmetry_space_group_name_Hall '-C 2y'
loop_
_atom_site_label
_atom_site_type_symbol
_atom_site_fract_x
_atom_site_fract_y
_atom_site_fract_z
Nd1 Nd 0.240 0.000 0.139
Mn1 Mn 0.000 0.000 0.000
Mn2 Mn 0.196 0.000 0.377
Sb1 Sb 0.044 0.500 0.819
Sb2 Sb 0.108 0.000 0.548
S1 S 0.055 0.000 0.197
S2 S 0.091 0.500 0.652
S3 S 0.101 0.500 0.024
S4 S 0.160 0.500 0.456
S5 S 0.171 0.000 0.898
S6 S 0.241 0.500 0.292
# D(E_F) (states/eV per cell): 2.026
# Final energy (eV/atom): -5.674

---

Entry 7:
# Nd2ScMnS5 PBE optimized geometry
data_Nd2ScMnS5
_chemical_formula_sum 'Nd8 Sc4 Mn4 S20'
_cell_length_a 3.875
_cell_length_b 16.605
_cell_length_c 11.684
_cell_angle_alpha 90.00
_cell_angle_beta 90.00
_cell_angle_gamma 90.00
_symmetry_space_group_name_H-M 'C m c 21'
_symmetry_Int_Tables_number 36
_symmetry_space_group_name_Hall 'C 2c -2'
loop_
_atom_site_label
_atom_site_type_symbol
_atom_site_fract_x
_atom_site_fract_y
_atom_site_fract_z
Nd1 Nd 0.000 0.113 0.000
Nd2 Nd 0.000 0.130 0.622
Sc1 Sc 0.000 0.199 0.324
Mn1 Mn 0.000 0.443 0.762
S1 S 0.000 0.049 0.374
S2 S 0.000 0.287 0.977
S3 S 0.000 0.310 0.671
S4 S 0.000 0.356 0.313
S5 S 0.000 0.496 0.086
# D(E_F) (states/eV per cell): 13.521
# Final energy (eV/atom): -6.772

---

Entry 8:
# Nd2Mn2Se2S3 PBE optimized geometry
data_Nd2Mn2Se2S3
_chemical_formula_sum 'Nd4 Mn4 Se4 S6'
_cell_length_a 4.677
_cell_length_b 4.677
_cell_length_c 18.914
_cell_angle_alpha 90.00
_cell_angle_beta 90.00
_cell_angle_gamma 90.00
_symmetry_space_group_name_H-M 'I 4/m m m'
_symmetry_Int_Tables_number 139
_symmetry_space_group_name_Hall '-I 4 2'
loop_
_atom_site_label
_atom_site_type_symbol
_atom_site_fract_x
_atom_site_fract_y
_atom_site_fract_z
Nd1 Nd 0.000 0.000 0.171
Mn1 Mn 0.000 0.500 0.000
Se1 Se 0.000 0.000 0.408
S1 S 0.000 0.000 0.000
S2 S 0.000 0.500 0.250
# D(E_F) (states/eV per cell): 3.820
# Final energy (eV/atom): -6.366

---

Entry 9:
# Nd6MnSi2S14 PBE optimized geometry
data_Nd6MnSi2S14
_chemical_formula_sum 'Nd6 Mn1 Si2 S14'
_cell_length_a 10.2198
_cell_length_b 10.2198
_cell_length_c 5.7253
_cell_angle_alpha 90.00
_cell_angle_beta 90.00
_cell_angle_gamma 120.00
_symmetry_space_group_name_H-M 'P 3'
_symmetry_Int_Tables_number 143
_symmetry_space_group_name_Hall 'P 3'
loop_
_atom_site_label
_atom_site_type_symbol
_atom_site_fract_x
_atom_site_fract_y
_atom_site_fract_z
Nd1 Nd 0.0232 0.5662 0.0000
Nd2 Nd 0.3098 0.0997 0.5051
Mn1 Mn 0.6667 0.3333 0.2654
Si1 Si 0.0000 0.0000 0.9202
Si2 Si 0.3333 0.6667 0.4127
S1 S 0.0000 0.0000 0.2877
S2 S 0.0758 0.8555 0.7750
S3 S 0.1894 0.4460 0.2691
S4 S 0.3333 0.6667 0.7807
S5 S 0.4213 0.1733 0.0280
S6 S 0.5043 0.4165 0.5066
# Final energy (eV/atom): -6.239

---

Entry 10:
# Nd2Mn2Te2S3 PBE optimized geometry
data_Nd2Mn2Te2S3
_chemical_formula_sum 'Nd4 Mn4 Te4 S6'
_cell_length_a 4.755
_cell_length_b 4.755
_cell_length_c 19.659
_cell_angle_alpha 90.00
_cell_angle_beta 90.00
_cell_angle_gamma 90.00
_symmetry_space_group_name_H-M 'I 4/m m m'
_symmetry_Int_Tables_number 139
_symmetry_space_group_name_Hall '-I 4 2'
loop_
_atom_site_label
_atom_site_type_symbol
_atom_site_fract_x
_atom_site_fract_y
_atom_site_fract_z
Nd1 Nd 0.000 0.000 0.175
Mn1 Mn 0.000 0.500 0.000
Te1 Te 0.000 0.000 0.402
S1 S 0.000 0.000 0.000
S2 S 0.000 0.500 0.250
# D(E_F) (states/eV per cell): 7.861
# Final energy (eV/atom): -6.219

---

Entry 11:
# Nd3MnTl4S8 PBE optimized geometry
data_Nd3MnTl4S8
_chemical_formula_sum 'Nd9 Mn3 Tl12 S24'
_cell_length_a 8.1371
_cell_length_b 8.1371
_cell_length_c 22.3016
_cell_angle_alpha 90.00
_cell_angle_beta 90.00
_cell_angle_gamma 120.00
_symmetry_space_group_name_H-M 'R -3 m'
_symmetry_Int_Tables_number 166
_symmetry_space_group_name_Hall '-R 3 2"'
loop_
_atom_site_label
_atom_site_type_symbol
_atom_site_fract_x
_atom_site_fract_y
_atom_site_fract_z
Nd1 Nd 0.0000 0.5000 0.0000
Mn1 Mn 0.0000 0.0000 0.0000
Tl1 Tl 0.0000 0.0000 0.5000
Tl2 Tl 0.0000 0.5000 0.5000
S1 S 0.0000 0.0000 0.2635
S2 S 0.0258 0.5129 0.7321
# D(E_F) (states/eV per cell): 15.419
# Final energy (eV/atom): -5.264

---

Entry 12:
# Nd2MnTl3S6 PBE optimized geometry
data_Nd2MnTl3S6
_chemical_formula_sum 'Nd4 Mn2 Tl6 S12'
_cell_length_a 7.084
_cell_length_b 11.845
_cell_length_c 7.882
_cell_angle_alpha 90.00
_cell_angle_beta 108.57
_cell_angle_gamma 90.00
_symmetry_space_group_name_H-M 'C 1 2/m 1'
_symmetry_Int_Tables_number 12
_symmetry_space_group_name_Hall '-C 2y'
loop_
_atom_site_label
_atom_site_type_symbol
_atom_site_fract_x
_atom_site_fract_y
_atom_site_fract_z
Nd1 Nd 0.000 0.165 0.000
Mn1 Mn 0.000 0.500 0.000
Tl1 Tl 0.000 0.000 0.500
Tl2 Tl 0.000 0.329 0.500
S1 S 0.209 0.355 0.183
S2 S 0.248 0.000 0.225
# D(E_F) (states/eV per cell): 0.578
# Final energy (eV/atom): -5.285

---

Entry 13:
# Nd2YMnS5 PBE optimized geometry
data_Nd2YMnS5
_chemical_formula_sum 'Nd8 Y4 Mn4 S20'
_cell_length_a 3.930
_cell_length_b 16.600
_cell_length_c 12.001
_cell_angle_alpha 90.00
_cell_angle_beta 90.00
_cell_angle_gamma 90.00
_symmetry_space_group_name_H-M 'C m c 21'
_symmetry_Int_Tables_number 36
_symmetry_space_group_name_Hall 'C 2c -2'
loop_
_atom_site_label
_atom_site_type_symbol
_atom_site_fract_x
_atom_site_fract_y
_atom_site_fract_z
Nd1 Nd 0.000 0.118 0.000
Nd2 Nd 0.000 0.122 0.651
Y1 Y 0.000 0.184 0.333
Mn1 Mn 0.000 0.450 0.736
S1 S 0.000 0.017 0.330
S2 S 0.000 0.300 0.994
S3 S 0.000 0.313 0.669
S4 S 0.000 0.347 0.325
S5 S 0.000 0.493 0.062
# D(E_F) (states/eV per cell): 11.657
# Final energy (eV/atom): -6.812

---

Entry 14:
# NdMn4Sb12 PBE optimized geometry
data_NdMn4Sb12
_chemical_formula_sum 'Nd2 Mn8 Sb24'
_cell_length_a 9.318
_cell_length_b 9.318
_cell_length_c 9.318
_cell_angle_alpha 90.00
_cell_angle_beta 90.00
_cell_angle_gamma 90.00
_symmetry_space_group_name_H-M 'I m -3'
_symmetry_Int_Tables_number 204
_symmetry_space_group_name_Hall '-I 2 2 3'
loop_
_atom_site_label
_atom_site_type_symbol
_atom_site_fract_x
_atom_site_fract_y
_atom_site_fract_z
Nd1 Nd 0.000 0.000 0.000
Mn1 Mn 0.250 0.250 0.250
Sb1 Sb 0.000 0.334 0.160
# D(E_F) (states/eV per cell): 21.955
# Final energy (eV/atom): -5.469

---

Entry 15:
# NdScMn17 PBE optimized geometry
data_NdScMn17
_chemical_formula_sum 'Nd3 Sc3 Mn51'
_cell_length_a 8.6352
_cell_length_b 8.6352
_cell_length_c 11.5932
_cell_angle_alpha 90.00
_cell_angle_beta 90.00
_cell_angle_gamma 120.00
_symmetry_space_group_name_H-M 'R 3 m'
_symmetry_Int_Tables_number 160
_symmetry_space_group_name_Hall 'R 3 -2"'
loop_
_atom_site_label
_atom_site_type_symbol
_atom_site_fract_x
_atom_site_fract_y
_atom_site_fract_z
Nd1 Nd 0.0000 0.0000 0.0000
Sc1 Sc 0.0000 0.0000 0.2889
Mn1 Mn 0.0000 0.0000 0.5389
Mn2 Mn 0.0000 0.0000 0.7401
Mn3 Mn 0.0010 0.5005 0.1398
Mn4 Mn 0.0098 0.5049 0.5060
Mn5 Mn 0.0589 0.3907 0.3067
Mn6 Mn 0.1757 0.3514 0.1108
# D(E_F) (states/eV per cell): 55.689
# ΔE_f (eV per atom): 0.028

---

Entry 16:
# NdSc3Mn PBE optimized geometry
data_NdSc3Mn
_chemical_formula_sum 'Nd1 Sc3 Mn1'
_cell_length_a 4.979
_cell_length_b 4.979
_cell_length_c 4.979
_cell_angle_alpha 90.00
_cell_angle_beta 90.00
_cell_angle_gamma 90.00
_symmetry_space_group_name_H-M 'P m -3 m'
_symmetry_Int_Tables_number 221
_symmetry_space_group_name_Hall '-P 4 2 3'
loop_
_atom_site_label
_atom_site_type_symbol
_atom_site_fract_x
_atom_site_fract_y
_atom_site_fract_z
Nd1 Nd 0.000 0.000 0.000
Sc1 Sc 0.000 0.500 0.500
Mn1 Mn 0.500 0.500 0.500
# D(E_F) (states/eV per cell): 7.411
# ΔE_f (eV per atom): 0.115

---

| no. | theoretical density (g/cm³) |
| --- | --- |
| 1 | 7.1 |
| 2 | 6.9 |
| 3 | 4.2 |
| 4 | 4.6 |
| 5 | 4.0 |
| 6 | 4.7 |
| 7 | 4.8 |
| 8 | 5.2 |
| 9 | 4.6 |
| 10 | 5.6 |
| 11 | 6.1 |
| 12 | 6.1 |
| 13 | 5.0 |
| 14 | 7.5 |
| 15 | 7.5 |
| 16 | 4.5 |